Below is a relaxed structure of Li4Ti3VO8, with properties calculated at the PBE+U level.

extended XYZ file:
```
16
Lattice="-2.2715 2.2817 2.6050 -4.5350 -4.0534 -0.4041 2.4081 -3.6596 5.3053" Properties=species:S:1:pos:R:3 pbc="T T T"
Li -1.6337 -4.4152 5.7347
Li -1.6342 -2.1019 0.4160
Li -3.2645 -5.1842 1.6942
Li 0.0118 -1.4443 4.5675
O -1.7912 -3.7119 1.6894
O -0.5651 -5.4257 4.2595
O -3.1292 -5.8983 5.7297
O -4.3385 -3.8509 2.8820
O -0.0989 -0.8571 0.6645
O -1.5273 -2.8189 4.4293
O -2.6161 -1.0215 1.9057
O 0.9991 -2.7119 3.2465
Ti -2.8806 -2.5732 3.0341
Ti -0.4023 -3.9508 3.1097
Ti -1.2056 0.2987 1.9792
V -2.0243 -6.9107 4.2878
```

Summary:
For the density of states at the Fermi level, the calculation gives 2.2 states/eV/f.u. For the total energy, the calculation gives -7.350 eV/atom. Its energy above the most stable polymorph in this dataset is 57 meV per atom.